SbAs2Pb4: optimized geometry, PBE-GGA.

It has space group P-1 (No. 2), with a = 3.4763 Å, b = 6.0065 Å, c = 10.0235 Å, α = 92.98°, β = 99.97° and γ = 90.10°. The asymmetric unit holds Sb at (0.0000, 0.0000, 0.0000), As at (0.2330, 0.3602, 0.4665), Pb at (0.0907, 0.4788, 0.1767) and Pb at (0.3530, 0.0452, 0.7103).

The density of states at the Fermi level is 2.8 states/eV/f.u. The value obtained for the uncorrected formation energy is 58 meV/atom. The value obtained for the total magnetization is 0.00 μB/f.u. Its total energy is -3.98 eV/atom.